# PBE-GGA MgFeRh2, optimized geometry
data_MgFeRh2
_symmetry_space_group_name_H-M 'I -4 2 d'
_symmetry_Int_Tables_number 122
_symmetry_space_group_name_Hall 'I -4 2bw'
_cell_length_a 6.871
_cell_length_b 6.871
_cell_length_c 5.409
_cell_angle_alpha 90.00
_cell_angle_beta 90.00
_cell_angle_gamma 90.00
loop_
_atom_site_label
_atom_site_type_symbol
_atom_site_fract_x
_atom_site_fract_y
_atom_site_fract_z
Mg1 Mg 0.000 0.000 0.000
Fe1 Fe 0.000 0.000 0.500
Rh1 Rh 0.216 0.250 0.625
# Total energy in eV/atom: -6.013
# Energy of formation in eV/atom: 0.177